Here is an optimized crystal structure of PaZnAs from Alexandria via LeMat-Bulk. Energies are from PBE.

Crystal system   monoclinic
D(E_F)   2.82 states/eV/f.u.
Total moment   0.00 μB/f.u.
Volume   63.8 Å³/f.u.
Formation energy   -167 meV per atom

Cell: 6.722 3.958 10.117 Å, 90.00 108.45 90.00°
Fractional positions:
Pa 0.216 0.000 0.405
Pa 0.284 0.500 0.595
Pa 0.716 0.500 0.405
Pa 0.784 0.000 0.595
Zn 0.118 0.500 0.912
Zn 0.382 0.000 0.088
Zn 0.618 0.000 0.912
Zn 0.882 0.500 0.088
As 0.229 0.000 0.804
As 0.271 0.500 0.196
As 0.729 0.500 0.804
As 0.771 0.000 0.196



Here is an optimized crystal structure of Ho6BiSb2Se3 from Alexandria via LeMat-Bulk. Energies are from PBE.

Crystal system   monoclinic
E_form (uncorrected)   -1.366 eV/atom
D(E_F)   5.35 states/eV/f.u.
Total moment   0.00 μB/f.u.
Volume   321.8 Å³/f.u.

Cell: 9.469 9.469 8.453 Å, 102.87 102.87 25.86°
Fractional positions:
Ho 0.003 0.003 0.236
Ho 0.328 0.328 0.422
Ho 0.336 0.336 0.911
Ho 0.664 0.664 0.089
Ho 0.672 0.672 0.578
Ho 0.997 0.997 0.764
Bi 0.500 0.500 0.500
Sb 0.167 0.167 0.832
Sb 0.833 0.833 0.168
Se 0.166 0.166 0.332
Se 0.500 0.500 0.000
Se 0.834 0.834 0.668



Here is an optimized crystal structure of SmSn6 from Alexandria via LeMat-Bulk. Energies are from PBE.

Crystal system   cubic
D(E_F)   7.07 states/eV/f.u.
Total moment   0.57 μB/f.u.
Volume   262.1 Å³/f.u.
Formation energy   378 meV per atom

Cell: 8.063 8.063 8.063 Å, 90.00 90.00 90.00°
Fractional positions:
Sm 0.000 0.000 0.000
Sm 0.500 0.500 0.500
Sn 0.000 0.250 0.500
Sn 0.000 0.500 0.250
Sn 0.000 0.500 0.750
Sn 0.000 0.750 0.500
Sn 0.250 0.000 0.500
Sn 0.250 0.500 0.000
Sn 0.500 0.000 0.250
Sn 0.500 0.000 0.750
Sn 0.500 0.250 0.000
Sn 0.500 0.750 0.000
Sn 0.750 0.000 0.500
Sn 0.750 0.500 0.000



Here is an optimized crystal structure of Pr2GdHf from Alexandria via LeMat-Bulk. Energies are from PBE.

Crystal system   tetragonal
D(E_F)   4.77 states/eV/f.u.
Total moment   7.19 μB/f.u.
Volume   122.9 Å³/f.u.
Formation energy   185 meV per atom

Cell: 5.007 5.007 4.901 Å, 90.00 90.00 90.00°
Fractional positions:
Pr 0.000 0.500 0.000
Pr 0.500 0.000 0.000
Gd 0.000 0.000 0.500
Hf 0.500 0.500 0.500



Here is an optimized crystal structure of CeHgAs2Rh5 from Alexandria via LeMat-Bulk. Energies are from PBE.

Crystal system   tetragonal
D(E_F)   9.79 states/eV/f.u.
Total moment   0.83 μB/f.u.
Volume   180.8 Å³/f.u.
Formation energy   -283 meV per atom

Cell: 4.028 4.028 11.142 Å, 90.00 90.00 90.00°
Fractional positions:
Ce 0.000 0.000 0.000
Hg 0.000 0.000 0.500
As 0.500 0.500 0.214
As 0.500 0.500 0.786
Rh 0.000 0.500 0.327
Rh 0.000 0.500 0.673
Rh 0.500 0.000 0.327
Rh 0.500 0.000 0.673
Rh 0.500 0.500 0.000



Here is an optimized crystal structure of CePmYN3 from Alexandria via LeMat-Bulk. Energies are from PBE.

Crystal system   monoclinic
E_form (uncorrected)   -1.328 eV/atom
D(E_F)   3.15 states/eV/f.u.
Total moment   0.68 μB/f.u.
Volume   96.2 Å³/f.u.

Cell: 6.079 3.503 9.215 Å, 90.00 101.36 90.00°
Fractional positions:
Ce 0.153 0.250 0.144
Ce 0.847 0.750 0.856
Pm 0.334 0.250 0.801
Pm 0.666 0.750 0.199
Y 0.233 0.750 0.457
Y 0.767 0.250 0.543
N 0.039 0.750 0.655
N 0.256 0.750 0.001
N 0.460 0.250 0.334
N 0.540 0.750 0.666
N 0.744 0.250 0.999
N 0.961 0.250 0.345